Entry 1:
The following is a DFT calculation (PBE) of crystalline PuCdCu at its relaxed geometry.

The value obtained for the formation energy from the elements is 0.96 eV/atom. For the theoretical density, the calculation gives 10.413 g cm⁻³. The magnetic moment comes out at 0.41 μB/cell. The calculated total energy is -0.389 Ry/atom. As for the crystal system: cubic.

The space group is F-43m (No. 216) and the conventional cell measures 6.446, 6.446 and 6.446 Å, with angles of 90.00, 90.00 and 90.00 degrees. Symmetry generates all atoms from Pu at (0.000, 0.000, 0.000), Cd at (0.000, 0.000, 0.500) and Cu at (0.250, 0.250, 0.750).



Entry 2:
The following is a DFT calculation (PBE) of crystalline FePSe at its relaxed geometry.

For the theoretical density, the calculation gives 6.279 g cm⁻³. The magnetic moment comes out at 0.01 μB/cell. The calculated total energy is -0.456 Ry/atom. As for the crystal system: monoclinic.

The space group is P2_1/c (No. 14) and the conventional cell measures 5.772, 5.691 and 5.791 Å, with angles of 90.00, 112.81 and 90.00 degrees. Symmetry generates all atoms from Fe at (0.217, 0.010, 0.208), P at (0.148, 0.142, 0.831) and Se at (0.344, 0.624, 0.138).



Entry 3:
The following is a DFT calculation (PBE) of crystalline In2GeMo at its relaxed geometry.

For the theoretical density, the calculation gives 8.323 g cm⁻³. The magnetic moment comes out at 6.42 μB/cell. The calculated total energy is -0.336 Ry/atom. As for the crystal system: cubic.

The space group is F-43m (No. 216) and the conventional cell measures 6.824, 6.824 and 6.824 Å, with angles of 90.00, 90.00 and 90.00 degrees. Symmetry generates all atoms from In at (0.000, 0.000, 0.000), In at (0.250, 0.250, 0.250), Ge at (0.250, 0.250, 0.750) and Mo at (0.000, 0.000, 0.500).



Entry 4:
The following is a DFT calculation (PBE) of crystalline K4TlCd3 at its relaxed geometry.

For the theoretical density, the calculation gives 4.381 g cm⁻³. The calculated total energy is -0.087 Ry/atom. As for the crystal system: tetragonal.

The space group is P-4m2 (No. 115) and the conventional cell measures 5.741, 5.741 and 8.028 Å, with angles of 90.00, 90.00 and 90.00 degrees. Symmetry generates all atoms from K at (0.000, 0.000, 0.000), K at (0.000, 0.500, 0.749), K at (0.500, 0.500, 0.500), Tl at (0.500, 0.500, 0.000), Cd at (0.000, 0.000, 0.500) and Cd at (0.000, 0.500, 0.246).



Entry 5:
The following is a DFT calculation (PBE) of crystalline BaHgSeO at its relaxed geometry.

For the theoretical density, the calculation gives 7.338 g cm⁻³. The calculated total energy is -0.286 Ry/atom. As for the crystal system: tetragonal.

The space group is P4/nmm (No. 129, origin choice 2) and the conventional cell measures 4.155, 4.155 and 11.348 Å, with angles of 90.00, 90.00 and 90.00 degrees. Symmetry generates all atoms from Ba at (0.250, 0.250, 0.137), Hg at (0.250, 0.750, 0.500), Se at (0.250, 0.250, 0.734) and O at (0.250, 0.250, 0.908).



Entry 6:
The following is a DFT calculation (PBE) of crystalline Ho2LuAl3CuSn2 at its relaxed geometry.

For the theoretical density, the calculation gives 7.618 g cm⁻³. The magnetic moment comes out at 0.01 μB/cell. The calculated total energy is -0.338 Ry/atom. As for the crystal system: orthorhombic.

The space group is Amm2 (No. 38) and the conventional cell measures 4.245, 12.522 and 7.273 Å, with angles of 90.00, 90.00 and 90.00 degrees. Symmetry generates all atoms from Ho at (0.000, 0.193, 0.000), Lu at (0.000, 0.000, 0.580), Al at (0.500, 0.000, 0.973), Al at (0.500, 0.112, 0.307), Cu at (0.000, 0.000, 0.200) and Sn at (0.500, 0.165, 0.693).



Which value of theoretical density does entry 4 give? 4.381 g cm⁻³